No. 1
The following is a DFT calculation (GGA-PBE) of a geometry-optimized CrTePb2 structure.

abc: 4.3314 4.2442 6.5227
angles: 90.00 109.36 90.00
Fractional coordinates of all 4 atoms:
Cr: 0.0000 0.0000 0.0000
Te: 0.1524 0.5000 0.2995
Pb: 0.4267 0.5000 0.8516
Pb: 0.7615 0.0000 0.5180

Calculated values
The crystal system is monoclinic. For the uncorrected formation energy, the calculation gives 215 meV per atom. Its space group is No. 6.

No. 2
The following is a DFT calculation (GGA-PBE) of a geometry-optimized CrTePb2 structure.

abc: 5.3480 5.3480 3.9597
angles: 90.00 90.00 102.15
Fractional coordinates of all 4 atoms:
Cr: 0.0000 0.0000 0.0000
Te: 0.5000 0.5000 0.0000
Pb: 0.0000 0.5000 0.5000
Pb: 0.5000 0.0000 0.5000

Calculated values
The crystal system is orthorhombic. For the uncorrected formation energy, the calculation gives 314 meV per atom. Its space group is No. 65.

No. 3
The following is a DFT calculation (GGA-PBE) of a geometry-optimized CrTe2Pb structure.

abc: 11.5857 11.5857 11.5857
angles: 16.99 16.99 16.99
Fractional coordinates of all 4 atoms:
Cr: 0.0000 0.0000 0.0000
Te: 0.0779 0.0779 0.0779
Te: 0.9221 0.9221 0.9221
Pb: 0.5000 0.5000 0.5000

Calculated values
The crystal system is trigonal. For the uncorrected formation energy, the calculation gives 460 meV per atom. Its space group is No. 166.

No. 4
The following is a DFT calculation (GGA-PBE) of a geometry-optimized Cr5Te12Pb3 structure.

abc: 14.8337 14.8337 14.8337
angles: 109.47 109.47 109.47
Fractional coordinates of all 80 atoms:
Cr: 0.0000 0.0000 0.0000
Cr: 0.0000 0.0000 0.5000
Cr: 0.0000 0.5000 0.0000
Cr: 0.0000 0.5000 0.5000
Cr: 0.1250 0.7500 0.8750
Cr: 0.1250 0.8750 0.2500
Cr: 0.2500 0.1250 0.8750
Cr: 0.2500 0.6250 0.3750
Cr: 0.3750 0.2500 0.6250
Cr: 0.3750 0.6250 0.7500
Cr: 0.5000 0.0000 0.0000
Cr: 0.5000 0.0000 0.5000
Cr: 0.5000 0.5000 0.0000
Cr: 0.5000 0.5000 0.5000
Cr: 0.6250 0.3750 0.2500
Cr: 0.6250 0.7500 0.3750
Cr: 0.7500 0.3750 0.6250
Cr: 0.7500 0.8750 0.1250
Cr: 0.8750 0.1250 0.7500
Cr: 0.8750 0.2500 0.1250
Te: 0.0224 0.2020 0.1146
Te: 0.0224 0.3204 0.9078
Te: 0.0874 0.7020 0.6796
Te: 0.0874 0.8854 0.4078
Te: 0.0922 0.6146 0.4126
Te: 0.0922 0.9776 0.6796
Te: 0.1146 0.0224 0.2020
Te: 0.1146 0.5922 0.9126
Te: 0.1796 0.2020 0.5874
Te: 0.1796 0.4776 0.5922
Te: 0.2020 0.1146 0.0224
Te: 0.2020 0.5874 0.1796
Te: 0.2980 0.3204 0.9126
Te: 0.2980 0.4776 0.3854
Te: 0.3204 0.9078 0.0224
Te: 0.3204 0.9126 0.2980
Te: 0.3854 0.2980 0.4776
Te: 0.3854 0.5874 0.9078
Te: 0.4078 0.0874 0.8854
Te: 0.4078 0.8204 0.5224
Te: 0.4126 0.0922 0.6146
Te: 0.4126 0.8204 0.7980
Te: 0.4776 0.3854 0.2980
Te: 0.4776 0.5922 0.1796
Te: 0.5224 0.4078 0.8204
Te: 0.5224 0.6146 0.7020
Te: 0.5874 0.1796 0.2020
Te: 0.5874 0.9078 0.3854
Te: 0.5922 0.1796 0.4776
Te: 0.5922 0.9126 0.1146
Te: 0.6146 0.4126 0.0922
Te: 0.6146 0.7020 0.5224
Te: 0.6796 0.0874 0.7020
Te: 0.6796 0.0922 0.9776
Te: 0.7020 0.5224 0.6146
Te: 0.7020 0.6796 0.0874
Te: 0.7980 0.4126 0.8204
Te: 0.7980 0.8854 0.9776
Te: 0.8204 0.5224 0.4078
Te: 0.8204 0.7980 0.4126
Te: 0.8854 0.4078 0.0874
Te: 0.8854 0.9776 0.7980
Te: 0.9078 0.0224 0.3204
Te: 0.9078 0.3854 0.5874
Te: 0.9126 0.1146 0.5922
Te: 0.9126 0.2980 0.3204
Te: 0.9776 0.6796 0.0922
Te: 0.9776 0.7980 0.8854
Pb: 0.1250 0.2500 0.3750
Pb: 0.1250 0.3750 0.7500
Pb: 0.2500 0.3750 0.1250
Pb: 0.2500 0.8750 0.6250
Pb: 0.3750 0.1250 0.2500
Pb: 0.3750 0.7500 0.1250
Pb: 0.6250 0.2500 0.8750
Pb: 0.6250 0.8750 0.7500
Pb: 0.7500 0.1250 0.3750
Pb: 0.7500 0.6250 0.8750
Pb: 0.8750 0.6250 0.2500
Pb: 0.8750 0.7500 0.6250

Calculated values
The crystal system is cubic. For the uncorrected formation energy, the calculation gives -68 meV per atom. Its space group is No. 230.

No. 5
The following is a DFT calculation (GGA-PBE) of a geometry-optimized CrTePb2 structure.

abc: 3.5217 3.5217 8.9000
angles: 90.00 90.00 90.00
Fractional coordinates of all 4 atoms:
Cr: 0.0000 0.0000 0.0000
Te: 0.5000 0.5000 0.8586
Pb: 0.0000 0.0000 0.5267
Pb: 0.5000 0.5000 0.2473

Calculated values
The crystal system is tetragonal. For the uncorrected formation energy, the calculation gives 145 meV per atom. Its space group is No. 99.

No. 6
The following is a DFT calculation (GGA-PBE) of a geometry-optimized CrTe4Pb structure.

abc: 6.3962 6.3962 6.3962
angles: 60.00 60.00 60.00
Fractional coordinates of all 6 atoms:
Cr: 0.0000 0.0000 0.0000
Te: 0.3746 0.3746 0.3746
Te: 0.3746 0.3746 0.8761
Te: 0.3746 0.8761 0.3746
Te: 0.8761 0.3746 0.3746
Pb: 0.7500 0.7500 0.7500

Calculated values
The crystal system is cubic. For the uncorrected formation energy, the calculation gives 589 meV per atom. Its space group is No. 216.